A plane-wave DFT calculation with PBE was carried out for an optimized crystal structure of Ac2TiAgS6.

- DFT total energy (eV/cell) = -116.6
- SG = P2_1/c
- N(E_F) (states/eV/cell) = 10.1
- formation energy (no corrections) (eV/f.u.) = -14.547

Cell: 6.6110 7.5721 11.3085 Å, 90.00 124.40 90.00°
Sites, in units of the cell vectors:
1 Ac 0.2115 0.1035 0.2515
2 Ac 0.2115 0.3965 0.7515
3 Ac 0.7885 0.6035 0.2485
4 Ac 0.7885 0.8965 0.7485
5 Ti 0.5000 0.0000 0.0000
6 Ti 0.5000 0.5000 0.5000
7 Ag 0.0000 0.0000 0.5000
8 Ag 0.0000 0.5000 0.0000
9 S 0.1492 0.1639 0.9538
10 S 0.1492 0.3361 0.4538
11 S 0.2873 0.7055 0.9491
12 S 0.2873 0.7945 0.4491
13 S 0.3609 0.0246 0.7514
14 S 0.3609 0.4754 0.2514
15 S 0.6391 0.5246 0.7486
16 S 0.6391 0.9754 0.2486
17 S 0.7127 0.2055 0.5509
18 S 0.7127 0.2945 0.0509
19 S 0.8508 0.6639 0.5462
20 S 0.8508 0.8361 0.0462